[1]
The following is a GGA-PBE calculation of an optimized crystal structure of PrAsPd6, from the Alexandria database.

abc: 5.6343 5.6343 6.8945
angles: 65.88 65.88 60.00
Last column: nearest neighbours and their distance in Å.
Fractional coordinates of all 8 atoms:
1 Pr 0.5000 0.5000 0.5000  12 Pd 3.12
2 Pd 0.5615 0.0799 0.2786  1 As 2.39
3 Pd 0.0799 0.5615 0.2786  1 As 2.39
4 Pd 0.9201 0.4385 0.7214  1 As 2.39
5 Pd 0.4385 0.9201 0.7214  1 As 2.39
6 Pd 0.9201 0.9201 0.7214  1 As 2.39
7 Pd 0.0799 0.0799 0.2786  1 As 2.39
8 As 0.0000 0.0000 0.0000  6 Pd 2.39

Total energy (eV/atom): -5.402
ΔH_f (0 K) (eV per atom): -0.3292
Space group: R-3m

[2]
The following is a GGA-PBE calculation of an optimized crystal structure of Pr2As3Pd6, from the Alexandria database.

abc: 4.3337 7.5416 7.5416
angles: 120.00 90.00 90.00
Last column: nearest neighbours and their distance in Å.
Fractional coordinates of all 11 atoms:
1 Pd 0.0000 0.0000 0.7919  2 As 2.48, 2 Pd 2.72
2 Pd 0.5000 0.0000 0.3009  3 As 2.49-2.57
3 Pd 0.0000 0.2082 0.2082  2 As 2.48, 2 Pd 2.72
4 Pd 0.0000 0.7919 0.0000  2 As 2.48, 2 Pd 2.72
5 Pd 0.5000 0.6991 0.6991  3 As 2.49-2.57
6 Pd 0.5000 0.3009 0.0000  3 As 2.49-2.57
7 As 0.5000 0.6310 0.0000  5 Pd 2.48-2.57
8 As 0.5000 0.0000 0.6310  5 Pd 2.48-2.57
9 As 0.5000 0.3690 0.3690  5 Pd 2.48-2.57
10 Pr 0.0000 0.3333 0.6667  9 Pd 3.10-3.42, 6 As 3.23
11 Pr 0.0000 0.6667 0.3333  9 Pd 3.10-3.42, 6 As 3.23

Total energy (eV/atom): -5.771
ΔH_f (0 K) (eV per atom): -0.8016
Space group: P-62m

[3]
The following is a GGA-PBE calculation of an optimized crystal structure of PrAs6Pd12, from the Alexandria database.

abc: 7.2611 7.2611 7.2611
angles: 104.51 104.51 104.51
Last column: nearest neighbours and their distance in Å.
Fractional coordinates of all 19 atoms:
1 As 0.2480 0.2480 0.6806  7 Pd 2.50-2.69
2 As 0.7520 0.7520 0.3194  7 Pd 2.50-2.69
3 As 0.2480 0.6806 0.2480  7 Pd 2.50-2.69
4 As 0.7520 0.3194 0.7520  7 Pd 2.50-2.69
5 As 0.3194 0.7520 0.7520  7 Pd 2.50-2.69
6 As 0.6806 0.2480 0.2480  7 Pd 2.50-2.69
7 Pd 0.5790 0.5790 0.8356  3 As 2.55-2.69
8 Pd 0.4210 0.4210 0.1644  3 As 2.55-2.69
9 Pd 0.1243 0.5000 0.8757  4 As 2.50-2.51
10 Pd 0.1644 0.4210 0.4210  3 As 2.55-2.69
11 Pd 0.8757 0.1243 0.5000  4 As 2.50-2.51
12 Pd 0.5000 0.8757 0.1243  4 As 2.50-2.51
13 Pd 0.5790 0.8356 0.5790  3 As 2.55-2.69
14 Pd 0.8757 0.5000 0.1243  4 As 2.50-2.51
15 Pd 0.8356 0.5790 0.5790  3 As 2.55-2.69
16 Pd 0.4210 0.1644 0.4210  3 As 2.55-2.69
17 Pd 0.5000 0.1243 0.8757  4 As 2.50-2.51
18 Pd 0.1243 0.8757 0.5000  4 As 2.50-2.51
19 Pr 0.0000 0.0000 0.0000  6 Pd 3.43, 6 As 3.80

Total energy (eV/atom): -5.381
ΔH_f (0 K) (eV per atom): -0.3819
Space group: R-3m

[4]
The following is a GGA-PBE calculation of an optimized crystal structure of Pr3As4Pd2, from the Alexandria database.

abc: 4.3448 6.3535 8.7778
angles: 113.34 90.00 109.99
Last column: nearest neighbours and their distance in Å.
Fractional coordinates of all 9 atoms:
1 As 0.6867 0.3734 0.1001  1 Pd 2.55
2 As 0.0735 0.1471 0.4070  3 Pd 2.55-2.76
3 As 0.3133 0.6266 0.8999  1 Pd 2.55
4 As 0.9265 0.8529 0.5930  3 Pd 2.55-2.76
5 Pr 0.6378 0.2757 0.7220  5 As 2.96-3.16, 1 Pd 3.19
6 Pr 0.0000 0.0000 0.0000  6 As 2.97-3.30
7 Pr 0.3622 0.7243 0.2780  5 As 2.96-3.16, 1 Pd 3.19
8 Pd 0.6772 0.3544 0.3849  4 As 2.55-2.76
9 Pd 0.3228 0.6456 0.6151  4 As 2.55-2.76

Total energy (eV/atom): -5.859
ΔH_f (0 K) (eV per atom): -1.0450
Space group: C2/m